Here is a relaxed Ce4HoPa3P8 crystal from Alexandria via LeMat-Bulk. Energies are from GGA-PBE.

a = 8.0572 Å, b = 8.0572 Å, c = 8.0572 Å
α = 59.83°, β = 59.83°, γ = 59.83°
Last column: nearest neighbours and their distance in Å.
Fractional positions:
Ce: 0.0000 0.0000 0.0000  6 P 2.87
Ce: 0.0000 0.5000 0.5000  6 P 2.88-2.89
Ce: 0.5000 0.0000 0.5000  6 P 2.88-2.89
Ce: 0.5000 0.5000 0.0000  6 P 2.88-2.89
Ho: 0.5000 0.5000 0.5000  6 P 2.82
Pa: 0.0000 0.0000 0.5000  6 P 2.80-2.81
Pa: 0.0000 0.5000 0.0000  6 P 2.80-2.81
Pa: 0.5000 0.0000 0.0000  6 P 2.80-2.81
P: 0.2452 0.7477 0.7477  2 Pa 2.80, 1 Ho 2.82, 3 Ce 2.87-2.89
P: 0.2470 0.2470 0.2470  3 Pa 2.81, 3 Ce 2.88
P: 0.2523 0.2523 0.7548  2 Pa 2.80, 1 Ho 2.82, 3 Ce 2.87-2.89
P: 0.2523 0.7548 0.2523  2 Pa 2.80, 1 Ho 2.82, 3 Ce 2.87-2.89
P: 0.7477 0.2452 0.7477  2 Pa 2.80, 1 Ho 2.82, 3 Ce 2.87-2.89
P: 0.7477 0.7477 0.2452  2 Pa 2.80, 1 Ho 2.82, 3 Ce 2.87-2.89
P: 0.7530 0.7530 0.7530  3 Pa 2.81, 3 Ce 2.88
P: 0.7548 0.2523 0.2523  2 Pa 2.80, 1 Ho 2.82, 3 Ce 2.87-2.89

Properties
E_form: -1450 meV per atom
uncorrected energy: -7.705 eV per atom
density: 7.5 Mg/m³
volume: 368.4 Å³ per cell